First-principles (GGA-PBE) data for a relaxed TiPdC2Se crystal, as listed in the Alexandria database.

The space group is P4/mmm (No. 123) and the conventional cell measures 4.0136, 4.0136 and 5.0285 Å, with angles of 90.00, 90.00 and 90.00 degrees. The asymmetric unit holds Ti at (0.0000, 0.0000, 0.0000), Pd at (0.5000, 0.5000, 0.5000), C at (0.0000, 0.5000, 0.0000) and Se at (0.0000, 0.0000, 0.5000).

The calculation puts the uncorrected formation energy at 1.315 eV per atom. The final energy comes out at -5.69 eV/atom. The spin magnetization is 0.000 μB/f.u.

=====

First-principles (GGA-PBE) data for a relaxed ZrPdCSe2 crystal, as listed in the Alexandria database.

The space group is P4/mmm (No. 123) and the conventional cell measures 4.4587, 4.4587 and 4.3863 Å, with angles of 90.00, 90.00 and 90.00 degrees. The asymmetric unit holds Zr at (0.0000, 0.0000, 0.0000), Pd at (0.5000, 0.5000, 0.0000), C at (0.0000, 0.0000, 0.5000) and Se at (0.0000, 0.5000, 0.5000).

The calculation puts the uncorrected formation energy at 0.436 eV per atom. The final energy comes out at -5.55 eV/atom. The spin magnetization is 0.000 μB/f.u.

=====

First-principles (GGA-PBE) data for a relaxed SiPdC2 crystal, as listed in the Alexandria database.

The space group is I-42d (No. 122) and the conventional cell measures 4.6828, 4.6828 and 8.5935 Å, with angles of 90.00, 90.00 and 90.00 degrees. The asymmetric unit holds Si at (0.0000, 0.0000, 0.0000), Pd at (0.0000, 0.0000, 0.5000) and C at (0.2116, 0.2500, 0.1250).

The calculation puts the uncorrected formation energy at 0.705 eV per atom. The final energy comes out at -6.56 eV/atom. The spin magnetization is 0.000 μB/f.u.

=====

First-principles (GGA-PBE) data for a relaxed SiPd3C crystal, as listed in the Alexandria database.

The space group is Pm-3m (No. 221) and the conventional cell measures 4.1520, 4.1520 and 4.1520 Å, with angles of 90.00, 90.00 and 90.00 degrees. The asymmetric unit holds Si at (0.0000, 0.0000, 0.0000), Pd at (0.0000, 0.5000, 0.5000) and C at (0.5000, 0.5000, 0.5000).

The calculation puts the uncorrected formation energy at 0.341 eV per atom. The final energy comes out at -5.70 eV/atom. The spin magnetization is 0.000 μB/f.u. As for the energy relative to the lowest polymorph listed for this composition: 0 meV/atom.

=====

First-principles (GGA-PBE) data for a relaxed SiSn2PdC crystal, as listed in the Alexandria database.

The space group is P4/mmm (No. 123) and the conventional cell measures 5.3999, 5.3999 and 3.4299 Å, with angles of 90.00, 90.00 and 90.00 degrees. The asymmetric unit holds Si at (0.0000, 0.0000, 0.0000), Sn at (0.0000, 0.5000, 0.0000), Pd at (0.5000, 0.5000, 0.5000) and C at (0.0000, 0.0000, 0.5000).

The calculation puts the uncorrected formation energy at 0.772 eV per atom. The final energy comes out at -4.80 eV/atom. The spin magnetization is 0.000 μB/f.u.

=====

First-principles (GGA-PBE) data for a relaxed ZnSi2PdC crystal, as listed in the Alexandria database.

The space group is P4/mmm (No. 123) and the conventional cell measures 3.9438, 3.9438 and 4.4956 Å, with angles of 90.00, 90.00 and 90.00 degrees. The asymmetric unit holds Zn at (0.0000, 0.0000, 0.0000), Si at (0.0000, 0.5000, 0.5000), Pd at (0.5000, 0.5000, 0.0000) and C at (0.5000, 0.5000, 0.5000).

The calculation puts the uncorrected formation energy at 0.652 eV per atom. The final energy comes out at -4.66 eV/atom. The spin magnetization is 0.000 μB/f.u.

=====

First-principles (GGA-PBE) data for a relaxed ZrSiPdC2 crystal, as listed in the Alexandria database.

The space group is P4/mmm (No. 123) and the conventional cell measures 3.9521, 3.9521 and 5.0311 Å, with angles of 90.00, 90.00 and 90.00 degrees. The asymmetric unit holds Zr at (0.0000, 0.0000, 0.0000), Si at (0.5000, 0.5000, 0.0000), Pd at (0.5000, 0.5000, 0.5000) and C at (0.0000, 0.5000, 0.5000).

The calculation puts the uncorrected formation energy at 1.513 eV per atom. The final energy comes out at -6.01 eV/atom. The spin magnetization is 0.000 μB/f.u.

=====

First-principles (GGA-PBE) data for a relaxed Sm3PdC crystal, as listed in the Alexandria database.

The space group is Pm-3m (No. 221) and the conventional cell measures 4.9637, 4.9637 and 4.9637 Å, with angles of 90.00, 90.00 and 90.00 degrees. The asymmetric unit holds Sm at (0.0000, 0.0000, 0.5000), Pd at (0.5000, 0.5000, 0.5000) and C at (0.0000, 0.0000, 0.0000).

The final energy comes out at -5.91 eV/atom. The spin magnetization is 0.000 μB/f.u.

=====

First-principles (GGA-PBE) data for a relaxed Sm2PdC2 crystal, as listed in the Alexandria database.

The space group is C2/c (No. 15) and the conventional cell measures 14.2154, 4.0032 and 6.9793 Å, with angles of 90.00, 106.23 and 90.00 degrees. The asymmetric unit holds Sm at (0.1397, 0.1556, 0.1215), Pd at (0.0000, 0.3920, 0.7500) and C at (0.2276, 0.3732, 0.5328).

The final energy comes out at -6.95 eV/atom. The spin magnetization is 0.000 μB/f.u.

=====

First-principles (GGA-PBE) data for a relaxed SmPdC crystal, as listed in the Alexandria database.

The space group is C2/m (No. 12) and the conventional cell measures 12.3658, 4.1344 and 4.4466 Å, with angles of 90.00, 100.98 and 90.00 degrees. The asymmetric unit holds Sm at (0.1450, 0.0000, 0.1845), Pd at (0.0970, 0.5000, 0.7001) and C at (0.0393, 0.0000, 0.6344).

The final energy comes out at -6.68 eV/atom. The spin magnetization is 0.000 μB/f.u.

=====

First-principles (GGA-PBE) data for a relaxed Sm4Pd2C crystal, as listed in the Alexandria database.

The space group is I4/mmm (No. 139) and the conventional cell measures 4.8296, 4.8296 and 15.5899 Å, with angles of 90.00, 90.00 and 90.00 degrees. The asymmetric unit holds Sm at (0.0000, 0.0000, 0.1869), Sm at (0.0000, 0.5000, 0.0000), Pd at (0.0000, 0.0000, 0.3618) and C at (0.0000, 0.0000, 0.5000).

The final energy comes out at -5.63 eV/atom. The spin magnetization is 0.000 μB/f.u.

=====

First-principles (GGA-PBE) data for a relaxed SnPd3C crystal, as listed in the Alexandria database.

The space group is Pm-3m (No. 221) and the conventional cell measures 4.2426, 4.2426 and 4.2426 Å, with angles of 90.00, 90.00 and 90.00 degrees. The asymmetric unit holds Sn at (0.0000, 0.0000, 0.0000), Pd at (0.0000, 0.5000, 0.5000) and C at (0.5000, 0.5000, 0.5000).

The final energy comes out at -5.63 eV/atom. The spin magnetization is 0.000 μB/f.u. As for the energy relative to the lowest polymorph listed for this composition: 0 meV/atom.

=====

First-principles (GGA-PBE) data for a relaxed Sn3PdC crystal, as listed in the Alexandria database.

The space group is Pm-3m (No. 221) and the conventional cell measures 4.6919, 4.6919 and 4.6919 Å, with angles of 90.00, 90.00 and 90.00 degrees. The asymmetric unit holds Sn at (0.0000, 0.0000, 0.5000), Pd at (0.5000, 0.5000, 0.5000) and C at (0.0000, 0.0000, 0.0000).

The final energy comes out at -4.54 eV/atom. The spin magnetization is 0.000 μB/f.u. As for the energy relative to the lowest polymorph listed for this composition: 0 meV/atom.

=====

First-principles (GGA-PBE) data for a relaxed Sn3PdC crystal, as listed in the Alexandria database.

The space group is Pm-3m (No. 221) and the conventional cell measures 5.1642, 5.1642 and 5.1642 Å, with angles of 90.00, 90.00 and 90.00 degrees. The asymmetric unit holds Sn at (0.0000, 0.0000, 0.5000), Pd at (0.0000, 0.0000, 0.0000) and C at (0.5000, 0.5000, 0.5000).

The final energy comes out at -3.96 eV/atom. The spin magnetization is 1.086 μB/f.u. As for the energy relative to the lowest polymorph listed for this composition: 573 meV/atom.

=====

First-principles (GGA-PBE) data for a relaxed SnPd3C crystal, as listed in the Alexandria database.

The space group is Pm-3m (No. 221) and the conventional cell measures 4.9407, 4.9407 and 4.9407 Å, with angles of 90.00, 90.00 and 90.00 degrees. The asymmetric unit holds Sn at (0.0000, 0.0000, 0.0000), Pd at (0.0000, 0.0000, 0.5000) and C at (0.5000, 0.5000, 0.5000).

The final energy comes out at -3.85 eV/atom. The spin magnetization is 0.862 μB/f.u. As for the energy relative to the lowest polymorph listed for this composition: 1781 meV/atom.

=====

First-principles (GGA-PBE) data for a relaxed VSn2PdC crystal, as listed in the Alexandria database.

The space group is P4/mmm (No. 123) and the conventional cell measures 4.7709, 4.7709 and 3.9823 Å, with angles of 90.00, 90.00 and 90.00 degrees. The asymmetric unit holds V at (0.0000, 0.0000, 0.0000), Sn at (0.0000, 0.5000, 0.5000), Pd at (0.5000, 0.5000, 0.0000) and C at (0.5000, 0.5000, 0.5000).

The final energy comes out at -5.37 eV/atom. The spin magnetization is 0.000 μB/f.u.

=====

First-principles (GGA-PBE) data for a relaxed ZnSnPdC2 crystal, as listed in the Alexandria database.

The space group is P4/mmm (No. 123) and the conventional cell measures 3.8464, 3.8464 and 5.9020 Å, with angles of 90.00, 90.00 and 90.00 degrees. The asymmetric unit holds Zn at (0.0000, 0.0000, 0.0000), Sn at (0.0000, 0.0000, 0.5000), Pd at (0.5000, 0.5000, 0.5000) and C at (0.0000, 0.5000, 0.0000).

The final energy comes out at -3.83 eV/atom. The spin magnetization is 0.110 μB/f.u.

=====

First-principles (GGA-PBE) data for a relaxed SrPdC3 crystal, as listed in the Alexandria database.

The space group is Pm-3m (No. 221) and the conventional cell measures 4.1863, 4.1863 and 4.1863 Å, with angles of 90.00, 90.00 and 90.00 degrees. The asymmetric unit holds Sr at (0.0000, 0.0000, 0.0000), Pd at (0.5000, 0.5000, 0.5000) and C at (0.0000, 0.5000, 0.5000).

The final energy comes out at -4.95 eV/atom. The spin magnetization is 0.000 μB/f.u. As for the energy relative to the lowest polymorph listed for this composition: 0 meV/atom.

=====

First-principles (GGA-PBE) data for a relaxed Sr2PdC crystal, as listed in the Alexandria database.

The space group is I-42d (No. 122) and the conventional cell measures 7.6005, 7.6005 and 7.3068 Å, with angles of 90.00, 90.00 and 90.00 degrees. The asymmetric unit holds Sr at (0.2032, 0.2500, 0.1250), Pd at (0.0000, 0.0000, 0.5000) and C at (0.0000, 0.0000, 0.0000).

The final energy comes out at -3.84 eV/atom. The spin magnetization is 1.462 μB/f.u.

=====

First-principles (GGA-PBE) data for a relaxed SrPd2C crystal, as listed in the Alexandria database.

The space group is I4_1/amd (No. 141, origin choice 2) and the conventional cell measures 5.2818, 5.2818 and 12.3501 Å, with angles of 90.00, 90.00 and 90.00 degrees. The asymmetric unit holds Sr at (0.0000, 0.2500, 0.3750), Pd at (0.0000, 0.0000, 0.0000) and C at (0.0000, 0.2500, 0.8750).

The final energy comes out at -5.25 eV/atom. The spin magnetization is 0.000 μB/f.u.